Density functional theory data (PBE-GGA) for Ga2SbSe2 after structural relaxation.

Values from the calculation:
* SG: No. 139
* E above lowest polymorph: 0 meV per atom

a = 5.244 Å, b = 5.244 Å, c = 8.298 Å
α = 90.00°, β = 90.00°, γ = 90.00°
Positions (direct):
Ga  0.000  0.000  0.151
Ga  0.000  0.000  0.849
Ga  0.500  0.500  0.349
Ga  0.500  0.500  0.651
Sb  0.000  0.000  0.500
Sb  0.500  0.500  0.000
Se  0.000  0.500  0.250
Se  0.000  0.500  0.750
Se  0.500  0.000  0.250
Se  0.500  0.000  0.750

=====

Density functional theory data (PBE-GGA) for Ga2Sb2Se after structural relaxation.

Values from the calculation:
* SG: No. 127
* E above lowest polymorph: 0 meV per atom

a = 7.906 Å, b = 7.906 Å, c = 3.970 Å
α = 90.00°, β = 90.00°, γ = 90.00°
Positions (direct):
Ga  0.125  0.375  0.000
Ga  0.375  0.875  0.000
Ga  0.625  0.125  0.000
Ga  0.875  0.625  0.000
Sb  0.179  0.679  0.500
Sb  0.321  0.179  0.500
Sb  0.679  0.821  0.500
Sb  0.821  0.321  0.500
Se  0.000  0.000  0.500
Se  0.500  0.500  0.500

=====

Density functional theory data (PBE-GGA) for GaSb2Se4 after structural relaxation.

Values from the calculation:
* SG: No. 11

a = 7.512 Å, b = 6.926 Å, c = 8.596 Å
α = 90.00°, β = 103.50°, γ = 90.00°
Positions (direct):
Ga  0.193  0.250  0.290
Ga  0.807  0.750  0.710
Sb  0.150  0.750  0.050
Sb  0.353  0.750  0.585
Sb  0.647  0.250  0.415
Sb  0.850  0.250  0.950
Se  0.032  0.008  0.786
Se  0.032  0.492  0.786
Se  0.379  0.250  0.565
Se  0.426  0.250  0.135
Se  0.574  0.750  0.865
Se  0.621  0.750  0.435
Se  0.968  0.508  0.214
Se  0.968  0.992  0.214

=====

Density functional theory data (PBE-GGA) for Ga2SbSe4 after structural relaxation.

Values from the calculation:
* SG: No. 87

a = 7.851 Å, b = 7.851 Å, c = 6.435 Å
α = 90.00°, β = 90.00°, γ = 90.00°
Positions (direct):
Ga  0.000  0.500  0.250
Ga  0.000  0.500  0.750
Ga  0.500  0.000  0.250
Ga  0.500  0.000  0.750
Sb  0.000  0.000  0.000
Sb  0.500  0.500  0.500
Se  0.167  0.332  0.000
Se  0.168  0.667  0.500
Se  0.332  0.833  0.000
Se  0.333  0.168  0.500
Se  0.667  0.832  0.500
Se  0.668  0.167  0.000
Se  0.832  0.333  0.500
Se  0.833  0.668  0.000

=====

Density functional theory data (PBE-GGA) for GaSb2Se after structural relaxation.

Values from the calculation:
* SG: No. 225
* E above lowest polymorph: 46 meV per atom

a = 7.241 Å, b = 7.241 Å, c = 7.241 Å
α = 90.00°, β = 90.00°, γ = 90.00°
Positions (direct):
Ga  0.000  0.000  0.000
Ga  0.000  0.500  0.500
Ga  0.500  0.000  0.500
Ga  0.500  0.500  0.000
Sb  0.250  0.250  0.250
Sb  0.250  0.250  0.750
Sb  0.250  0.750  0.250
Sb  0.250  0.750  0.750
Sb  0.750  0.250  0.250
Sb  0.750  0.250  0.750
Sb  0.750  0.750  0.250
Sb  0.750  0.750  0.750
Se  0.000  0.000  0.500
Se  0.000  0.500  0.000
Se  0.500  0.000  0.000
Se  0.500  0.500  0.500

=====

Density functional theory data (PBE-GGA) for GaSbSe after structural relaxation.

Values from the calculation:
* SG: No. 4
* E above lowest polymorph: 0 meV per atom

a = 3.565 Å, b = 6.162 Å, c = 7.972 Å
α = 90.00°, β = 102.96°, γ = 90.00°
Positions (direct):
Ga  0.188  0.000  0.378
Ga  0.812  0.500  0.622
Sb  0.016  0.045  0.033
Sb  0.984  0.545  0.967
Se  0.210  0.591  0.419
Se  0.790  0.091  0.581

=====

Density functional theory data (PBE-GGA) for Sm6Ga2SbSe3 after structural relaxation.

Values from the calculation:
* SG: No. 12

a = 9.633 Å, b = 9.633 Å, c = 8.708 Å
α = 105.92°, β = 105.92°, γ = 25.04°
Positions (direct):
Sm  0.004  0.004  0.260
Sm  0.329  0.329  0.909
Sm  0.336  0.336  0.407
Sm  0.664  0.664  0.593
Sm  0.671  0.671  0.091
Sm  0.996  0.996  0.740
Ga  0.171  0.171  0.346
Ga  0.829  0.829  0.654
Sb  0.500  0.500  0.000
Se  0.163  0.163  0.839
Se  0.500  0.500  0.500
Se  0.837  0.837  0.161

=====

Density functional theory data (PBE-GGA) for Sr2GaSbSe5 after structural relaxation.

Values from the calculation:
* SG: No. 36

a = 9.589 Å, b = 9.589 Å, c = 12.904 Å
α = 90.00°, β = 90.00°, γ = 155.08°
Positions (direct):
Sr  0.113  0.887  0.500
Sr  0.124  0.876  0.137
Sr  0.876  0.124  0.637
Sr  0.887  0.113  0.000
Ga  0.441  0.559  0.250
Ga  0.559  0.441  0.750
Sb  0.210  0.790  0.845
Sb  0.790  0.210  0.345
Se  0.040  0.960  0.857
Se  0.284  0.716  0.496
Se  0.317  0.683  0.184
Se  0.353  0.647  0.821
Se  0.497  0.503  0.587
Se  0.503  0.497  0.087
Se  0.647  0.353  0.321
Se  0.683  0.317  0.684
Se  0.716  0.284  0.996
Se  0.960  0.040  0.357

=====

Density functional theory data (PBE-GGA) for Ta2GaSbSe after structural relaxation.

Values from the calculation:
* SG: No. 123

a = 5.155 Å, b = 5.155 Å, c = 5.016 Å
α = 90.00°, β = 90.00°, γ = 90.00°
Positions (direct):
Ta  0.000  0.500  0.000
Ta  0.500  0.000  0.000
Ga  0.000  0.000  0.500
Sb  0.000  0.000  0.000
Se  0.500  0.500  0.500

=====

Density functional theory data (PBE-GGA) for Ga2TcSbSe after structural relaxation.

Values from the calculation:
* SG: No. 123

a = 5.228 Å, b = 5.228 Å, c = 5.424 Å
α = 90.00°, β = 90.00°, γ = 90.00°
Positions (direct):
Ga  0.000  0.500  0.000
Ga  0.500  0.000  0.000
Tc  0.000  0.000  0.500
Sb  0.500  0.500  0.000
Se  0.500  0.500  0.500

=====

Density functional theory data (PBE-GGA) for GaSb2TeSe after structural relaxation.

Values from the calculation:
* SG: No. 123
* E above lowest polymorph: 0 meV per atom

a = 5.468 Å, b = 5.468 Å, c = 5.545 Å
α = 90.00°, β = 90.00°, γ = 90.00°
Positions (direct):
Ga  0.000  0.000  0.000
Sb  0.000  0.500  0.500
Sb  0.500  0.000  0.500
Te  0.500  0.500  0.000
Se  0.500  0.500  0.500

=====

Density functional theory data (PBE-GGA) for GaSbTe2Se after structural relaxation.

Values from the calculation:
* SG: No. 123
* E above lowest polymorph: 133 meV per atom

a = 5.290 Å, b = 5.290 Å, c = 5.391 Å
α = 90.00°, β = 90.00°, γ = 90.00°
Positions (direct):
Ga  0.000  0.000  0.000
Sb  0.000  0.000  0.500
Te  0.000  0.500  0.000
Te  0.500  0.000  0.000
Se  0.500  0.500  0.500

=====

Density functional theory data (PBE-GGA) for GaSbTe2Se after structural relaxation.

Values from the calculation:
* SG: No. 123
* E above lowest polymorph: 0 meV per atom

a = 5.554 Å, b = 5.554 Å, c = 5.469 Å
α = 90.00°, β = 90.00°, γ = 90.00°
Positions (direct):
Ga  0.000  0.000  0.000
Sb  0.500  0.500  0.000
Te  0.000  0.500  0.500
Te  0.500  0.000  0.500
Se  0.500  0.500  0.500

=====

Density functional theory data (PBE-GGA) for GaSb2TeSe after structural relaxation.

Values from the calculation:
* SG: No. 123
* E above lowest polymorph: 64 meV per atom

a = 5.356 Å, b = 5.356 Å, c = 5.226 Å
α = 90.00°, β = 90.00°, γ = 90.00°
Positions (direct):
Ga  0.000  0.000  0.000
Sb  0.000  0.500  0.000
Sb  0.500  0.000  0.000
Te  0.000  0.000  0.500
Se  0.500  0.500  0.500

=====

Density functional theory data (PBE-GGA) for TlGa2SbSe after structural relaxation.

Values from the calculation:
* SG: No. 123

a = 5.397 Å, b = 5.397 Å, c = 5.623 Å
α = 90.00°, β = 90.00°, γ = 90.00°
Positions (direct):
Tl  0.000  0.000  0.000
Ga  0.000  0.500  0.500
Ga  0.500  0.000  0.500
Sb  0.500  0.500  0.500
Se  0.500  0.500  0.000

=====

Density functional theory data (PBE-GGA) for TlGa2SbSe6 after structural relaxation.

Values from the calculation:
* SG: No. 15

a = 8.828 Å, b = 8.828 Å, c = 7.289 Å
α = 101.52°, β = 101.52°, γ = 81.78°
Positions (direct):
Tl  0.135  0.865  0.750
Tl  0.865  0.135  0.250
Ga  0.214  0.384  0.755
Ga  0.384  0.214  0.255
Ga  0.616  0.786  0.745
Ga  0.786  0.616  0.245
Sb  0.271  0.729  0.250
Sb  0.729  0.271  0.750
Se  0.016  0.195  0.644
Se  0.068  0.622  0.896
Se  0.195  0.016  0.144
Se  0.308  0.437  0.486
Se  0.378  0.932  0.604
Se  0.437  0.308  0.986
Se  0.563  0.692  0.014
Se  0.622  0.068  0.396
Se  0.692  0.563  0.514
Se  0.805  0.984  0.856
Se  0.932  0.378  0.104
Se  0.984  0.805  0.356

=====

Density functional theory data (PBE-GGA) for TlGaSbSe3 after structural relaxation.

Values from the calculation:
* SG: No. 11

a = 8.597 Å, b = 4.584 Å, c = 9.580 Å
α = 90.00°, β = 99.49°, γ = 90.00°
Positions (direct):
Tl  0.169  0.250  0.212
Tl  0.831  0.750  0.788
Ga  0.108  0.250  0.590
Ga  0.892  0.750  0.410
Sb  0.347  0.750  0.861
Sb  0.653  0.250  0.139
Se  0.134  0.250  0.854
Se  0.191  0.750  0.510
Se  0.415  0.750  0.138
Se  0.585  0.250  0.862
Se  0.809  0.250  0.490
Se  0.866  0.750  0.146

=====

Density functional theory data (PBE-GGA) for Tl2GaSbSe5 after structural relaxation.

Values from the calculation:
* SG: No. 36

a = 9.789 Å, b = 9.789 Å, c = 13.196 Å
α = 90.00°, β = 90.00°, γ = 156.84°
Positions (direct):
Tl  0.110  0.890  0.500
Tl  0.125  0.875  0.146
Tl  0.875  0.125  0.646
Tl  0.890  0.110  0.000
Ga  0.447  0.553  0.259
Ga  0.553  0.447  0.759
Sb  0.205  0.795  0.856
Sb  0.795  0.205  0.356
Se  0.043  0.957  0.871
Se  0.289  0.711  0.508
Se  0.323  0.677  0.205
Se  0.343  0.657  0.815
Se  0.488  0.512  0.605
Se  0.512  0.488  0.105
Se  0.657  0.343  0.315
Se  0.677  0.323  0.705
Se  0.711  0.289  0.008
Se  0.957  0.043  0.371

=====

Density functional theory data (PBE-GGA) for TlGaSbSe4 after structural relaxation.

Values from the calculation:
* SG: No. 11

a = 6.789 Å, b = 6.827 Å, c = 9.156 Å
α = 90.00°, β = 109.13°, γ = 90.00°
Positions (direct):
Tl  0.240  0.250  0.442
Tl  0.760  0.750  0.558
Ga  0.277  0.750  0.177
Ga  0.723  0.250  0.823
Sb  0.268  0.250  0.924
Sb  0.732  0.750  0.076
Se  0.031  0.750  0.920
Se  0.065  0.750  0.343
Se  0.468  0.516  0.779
Se  0.468  0.984  0.779
Se  0.532  0.016  0.221
Se  0.532  0.484  0.221
Se  0.935  0.250  0.657
Se  0.969  0.250  0.080

=====

Density functional theory data (PBE-GGA) for Zr2GaSbSe after structural relaxation.

Values from the calculation:
* SG: No. 123

a = 5.228 Å, b = 5.228 Å, c = 4.599 Å
α = 90.00°, β = 90.00°, γ = 90.00°
Positions (direct):
Zr  0.000  0.500  0.000
Zr  0.500  0.000  0.000
Ga  0.000  0.000  0.000
Sb  0.500  0.500  0.500
Se  0.000  0.000  0.500

=====

Density functional theory data (PBE-GGA) for Ga2SiSb after structural relaxation.

Values from the calculation:
* SG: No. 166
* E above lowest polymorph: 478 meV per atom

a = 3.973 Å, b = 3.973 Å, c = 23.868 Å
α = 90.00°, β = 90.00°, γ = 120.00°
Positions (direct):
Ga  0.000  0.000  0.101
Ga  0.000  0.000  0.899
Ga  0.333  0.667  0.565
Ga  0.333  0.667  0.768
Ga  0.667  0.333  0.232
Ga  0.667  0.333  0.435
Si  0.000  0.000  0.000
Si  0.333  0.667  0.667
Si  0.667  0.333  0.333
Sb  0.000  0.000  0.500
Sb  0.333  0.667  0.167
Sb  0.667  0.333  0.833

=====

Density functional theory data (PBE-GGA) for Ga2Si2Sb after structural relaxation.

Values from the calculation:
* SG: No. 139
* E above lowest polymorph: 81 meV per atom

a = 4.339 Å, b = 4.339 Å, c = 10.574 Å
α = 90.00°, β = 90.00°, γ = 90.00°
Positions (direct):
Ga  0.000  0.000  0.117
Ga  0.000  0.000  0.883
Ga  0.500  0.500  0.383
Ga  0.500  0.500  0.617
Si  0.000  0.500  0.250
Si  0.000  0.500  0.750
Si  0.500  0.000  0.250
Si  0.500  0.000  0.750
Sb  0.000  0.000  0.500
Sb  0.500  0.500  0.000

=====

Density functional theory data (PBE-GGA) for Ga2SiSb after structural relaxation.

Values from the calculation:
* SG: No. 225
* E above lowest polymorph: 263 meV per atom

a = 6.874 Å, b = 6.874 Å, c = 6.874 Å
α = 90.00°, β = 90.00°, γ = 90.00°
Positions (direct):
Ga  0.250  0.250  0.250
Ga  0.250  0.250  0.750
Ga  0.250  0.750  0.250
Ga  0.250  0.750  0.750
Ga  0.750  0.250  0.250
Ga  0.750  0.250  0.750
Ga  0.750  0.750  0.250
Ga  0.750  0.750  0.750
Si  0.000  0.000  0.000
Si  0.000  0.500  0.500
Si  0.500  0.000  0.500
Si  0.500  0.500  0.000
Sb  0.000  0.000  0.500
Sb  0.000  0.500  0.000
Sb  0.500  0.000  0.000
Sb  0.500  0.500  0.500

=====

Density functional theory data (PBE-GGA) for Ga2Si2Sb after structural relaxation.

Values from the calculation:
* SG: No. 127
* E above lowest polymorph: 0 meV per atom

a = 7.940 Å, b = 7.940 Å, c = 3.043 Å
α = 90.00°, β = 90.00°, γ = 90.00°
Positions (direct):
Ga  0.137  0.363  0.000
Ga  0.363  0.863  0.000
Ga  0.637  0.137  0.000
Ga  0.863  0.637  0.000
Si  0.159  0.659  0.500
Si  0.341  0.159  0.500
Si  0.659  0.841  0.500
Si  0.841  0.341  0.500
Sb  0.000  0.000  0.500
Sb  0.500  0.500  0.500

=====

Number 1: formation energy without anion corrections -7 meV/atom. Number 2: formation energy without anion corrections 76 meV/atom. Number 3: formation energy without anion corrections -226 meV/atom. Number 4: formation energy without anion corrections -392 meV/atom. Number 5: formation energy without anion corrections 205 meV/atom. Number 6: formation energy without anion corrections -265 meV/atom. Number 7: formation energy without anion corrections -1285 meV/atom. Number 8: formation energy without anion corrections -1167 meV/atom. Number 9: formation energy without anion corrections 1627 meV/atom. Number 10: formation energy without anion corrections 1253 meV/atom. Number 11: formation energy without anion corrections 557 meV/atom. Number 12: formation energy without anion corrections 592 meV/atom. Number 13: formation energy without anion corrections 459 meV/atom. Number 14: formation energy without anion corrections 620 meV/atom. Number 15: formation energy without anion corrections 272 meV/atom. Number 16: formation energy without anion corrections -335 meV/atom. Number 17: formation energy without anion corrections -340 meV/atom. Number 18: formation energy without anion corrections -338 meV/atom. Number 19: formation energy without anion corrections -288 meV/atom. Number 20: formation energy without anion corrections 266 meV/atom. Number 21: formation energy without anion corrections 537 meV/atom. Number 22: formation energy without anion corrections 374 meV/atom. Number 23: formation energy without anion corrections 323 meV/atom. Number 24: formation energy without anion corrections 293 meV/atom.